Below is crystalline CeCdHgAu at its relaxed geometry, with properties calculated at the PBE level.

a = 5.097 Å, b = 5.097 Å, c = 5.097 Å
α = 60.00°, β = 60.00°, γ = 60.00°
Site moments in Bohr magnetons follow the coordinates.
Fractional coordinates of all 4 atoms:
Ce  0.500  0.500  0.500  0.63
Cd  0.000  0.000  0.000  0.00
Au  0.250  0.250  0.250  0.00
Hg  0.750  0.750  0.750  0.00

- crystal system = cubic
- energy of formation (meV per atom) = -456
- space-group type = F-43m
- V (A^3/atom) = 23.41
- D(E_F) (states/eV/atom) = 1.56
- magnetization (μB/cell) = 0.7